Record 1
DFT (PBE) results for Ho4TcI5 after structural relaxation.

Lattice parameters (Å, degrees): 3.9606 9.4183 9.9466 103.23 101.48 90.00
With the nearest neighbours (Å) after each atom.
Positions (direct):
I: 0.8328 0.6695 0.6656  3 Ho 3.11-3.18
Ho: 0.0000 0.2196 0.0001  2 Tc 2.86, 1 I 3.18
Ho: 0.0000 0.7804 0.9999  2 Tc 2.86, 1 I 3.18
Ho: 0.3656 0.9314 0.7311  1 Tc 2.55
I: 0.1722 0.8398 0.3444  3 Ho 3.14-3.27
I: 0.5000 0.5000 0.0000  4 Ho 3.30
Tc: 0.5000 0.0000 0.0000  2 Ho 2.55
I: 0.1672 0.3305 0.3344  3 Ho 3.11-3.18
Ho: 0.6344 0.0686 0.2689  1 Tc 2.55
I: 0.8278 0.1602 0.6556  3 Ho 3.14-3.27

Output
Symmetry: C2/m, No. 12
DOS at the Fermi energy, states/eV/atom: 0.46
V, Å³/atom: 35.36
Raw total energy, eV per atom: -4.577


Record 2
DFT (PBE) results for HoSnSeO2 after structural relaxation.

Lattice parameters (Å, degrees): 4.0536 6.5104 7.5212 109.48 90.00 90.00
With the nearest neighbours (Å) after each atom.
Positions (direct):
O: 0.7500 0.5199 0.3888  3 Sn 2.21-2.27, 1 Ho 2.29
Ho: 0.2500 0.6767 0.9272  4 O 2.25-2.29
Sn: 0.2500 0.6851 0.4291  4 O 2.21-2.27
Se: 0.7500 0.9578 0.2155  1 Sn 2.90, 3 Ho 2.92-3.08, 1 O 3.15
Sn: 0.7500 0.3149 0.5709  4 O 2.21-2.27
O: 0.7500 0.5184 0.8716  1 Sn 2.21, 3 Ho 2.25-2.28
Ho: 0.7500 0.3233 0.0728  4 O 2.25-2.29
O: 0.2500 0.4816 0.1284  1 Sn 2.21, 3 Ho 2.25-2.28
Se: 0.2500 0.0422 0.7845  1 Sn 2.90, 3 Ho 2.92-3.08, 1 O 3.15
O: 0.2500 0.4801 0.6112  3 Sn 2.21-2.27, 1 Ho 2.29

Output
Symmetry: P2_1/m, No. 11
DOS at the Fermi energy, states/eV/atom: 0.43
V, Å³/atom: 18.71
Raw total energy, eV per atom: -6.397


Record 3
DFT (PBE) results for RbBa2Tl after structural relaxation.

Lattice parameters (Å, degrees): 4.3723 4.3723 11.8739 90.00 90.00 90.00
With the nearest neighbours (Å) after each atom.
Positions (direct):
Ba: 0.0000 0.0000 0.1673  4 Tl 3.68, 1 Ba 3.97
Rb: 0.5000 0.5000 0.5000  4 Rb 4.37
Ba: 0.0000 0.0000 0.8327  4 Tl 3.68, 1 Ba 3.97
Tl: 0.5000 0.5000 0.0000  8 Ba 3.68

Output
Offset from the most stable computed form, meV/atom: 0
Symmetry: P4/mmm, No. 123
ΔE_f, eV/f.u.: -0.81
DOS at the Fermi energy, states/eV/atom: 0.72
V, Å³/atom: 56.75
Raw total energy, eV per atom: -1.997


Record 4
DFT (PBE) results for MgCoP2 after structural relaxation.

Lattice parameters (Å, degrees): 4.8869 4.8869 4.8869 136.67 136.67 62.95
With the nearest neighbours (Å) after each atom.
Positions (direct):
P: 0.0000 0.0000 0.0000  4 Co 2.55, 4 P 2.76, 4 Mg 2.76
Mg: 0.7500 0.2500 0.5000  8 P 2.55-2.76, 4 Co 2.76
P: 0.2500 0.7500 0.5000  4 Mg 2.55, 4 Co 2.76, 4 P 2.76
Co: 0.5000 0.5000 0.0000  8 P 2.55-2.76, 4 Mg 2.76

Output
Symmetry: I-4m2, No. 119
ΔE_f, eV/f.u.: 0.30
DOS at the Fermi energy, states/eV/atom: 0.65
V, Å³/atom: 13.57
Raw total energy, eV per atom: -4.806


Record 5
DFT (PBE) results for CsBi2F9 after structural relaxation.

Lattice parameters (Å, degrees): 3.5690 7.7667 7.7667 120.00 90.00 90.00
With the nearest neighbours (Å) after each atom.
Positions (direct):
F: 0.0000 0.0000 0.5000  2 Bi 2.24
F: 0.5000 0.5581 0.7791  2 Bi 2.34, 2 F 2.62
Bi: 0.0000 0.3333 0.6667  9 F 2.24-2.34
Cs: 0.0000 0.0000 0.0000  12 F 3.47, 2 Cs 3.57
F: 0.5000 0.4419 0.2209  2 Bi 2.34, 2 F 2.62
F: 0.0000 0.5000 0.5000  2 Bi 2.24
F: 0.5000 0.7791 0.5581  2 Bi 2.34, 2 F 2.62
F: 0.5000 0.2209 0.7791  2 Bi 2.34, 2 F 2.62
Bi: 0.0000 0.6667 0.3333  9 F 2.24-2.34
F: 0.0000 0.5000 0.0000  2 Bi 2.24
F: 0.5000 0.7791 0.2209  2 Bi 2.34, 2 F 2.62
F: 0.5000 0.2209 0.4419  2 Bi 2.34, 2 F 2.62

Output
Symmetry: P6/mmm, No. 191
DOS at the Fermi energy, states/eV/atom: 0.32
V, Å³/atom: 15.54
Raw total energy, eV per atom: -4.222